No. 1
# ScAl2Sb

ScAl2Sb after structural relaxation (GGA-PBEsol, the Alexandria database).

D(E_F): 2.34 states/eV per cell
calculated total energy: -5.0611 eV/atom
magnetization: 0.000 μB/cell

a b c (Å): 3.772 3.772 5.610
angles (deg): 90.00 90.00 90.00
Space group P4/mmm (No. 123)
One atom of each set of equivalent atoms:
Sc 0.000 0.000 0.000 x1
Al 0.500 0.500 0.244 x2
Sb 0.000 0.000 0.500 x1

No. 2
# Y2CdTc

Y2CdTc after structural relaxation (GGA-PBEsol, the Alexandria database).

D(E_F): 8.95 states/eV per cell
calculated total energy: -6.4189 eV/atom
formation energy: 108.0 meV/atom
magnetization: 0.007 μB/cell

a b c (Å): 4.350 4.350 9.016
angles (deg): 90.00 90.00 90.00
Space group I-4m2 (No. 119)
One atom of each set of equivalent atoms:
Y 0.000 0.000 0.000 x2
Y 0.000 0.500 0.250 x2
Cd 0.000 0.000 0.500 x2
Tc 0.000 0.500 0.750 x2

No. 3
# YAlNi3

YAlNi3 after structural relaxation (GGA-PBEsol, the Alexandria database).

D(E_F): 2.53 states/eV per cell
calculated total energy: -4.6275 eV/atom
formation energy: 1249.7 meV/atom
magnetization: 0.000 μB/cell

a b c (Å): 4.538 4.538 4.538
angles (deg): 90.00 90.00 90.00
Space group Pm-3m (No. 221)
One atom of each set of equivalent atoms:
Y 0.000 0.000 0.000 x1
Al 0.500 0.500 0.500 x1
Ni 0.000 0.000 0.500 x3

No. 4
# N

N after structural relaxation (GGA-PBEsol, the Alexandria database).

D(E_F): 0.74 states/eV per cell
relative energy among the computed polymorphs: 0.848 eV/atom
calculated total energy: -7.6785 eV/atom
magnetization: 0.000 μB/cell

a b c (Å): 2.169 6.610 3.229
angles (deg): 90.00 90.00 90.00
Space group Pnma (No. 62)
One atom of each set of equivalent atoms:
N 0.021 0.250 0.141 x4